[1]
The following is a DFT calculation (PBE) of a relaxed structure of TlCdGe2O6.

Calculated values
The value obtained for the total energy is -110.29 eV per cell. The space group is No. 15. The value obtained for the formation energy from raw total energies is -1.29 eV/atom.

a b c (Å): 5.480 7.384 7.384
angles (deg): 87.59 81.77 81.77
Atoms (fractional coordinates):
Tl 0.250 0.902 0.098
Tl 0.750 0.098 0.902
Cd 0.250 0.292 0.708
Cd 0.750 0.708 0.292
Ge 0.232 0.789 0.615
Ge 0.268 0.385 0.211
Ge 0.768 0.211 0.385
Ge 0.732 0.615 0.789
O 0.168 0.972 0.770
O 0.332 0.230 0.028
O 0.832 0.028 0.230
O 0.668 0.770 0.972
O 0.378 0.841 0.396
O 0.122 0.604 0.159
O 0.622 0.159 0.604
O 0.878 0.396 0.841
O 0.939 0.702 0.598
O 0.561 0.402 0.298
O 0.061 0.298 0.402
O 0.439 0.598 0.702

[2]
The following is a DFT calculation (PBE) of a relaxed structure of Tl3CdGe2O6.

Calculated values
The value obtained for the total energy is -58.69 eV per cell. The space group is No. 164. The value obtained for the formation energy from raw total energies is -0.97 eV/atom.

a b c (Å): 6.083 6.083 7.210
angles (deg): 90.00 90.00 120.00
Atoms (fractional coordinates):
Tl 0.333 0.667 0.772
Tl 0.667 0.333 0.228
Tl 0.000 0.000 0.000
Cd 0.000 0.000 0.500
Ge 0.667 0.333 0.660
Ge 0.333 0.667 0.340
O 0.658 0.829 0.292
O 0.171 0.342 0.292
O 0.171 0.829 0.292
O 0.829 0.658 0.708
O 0.342 0.171 0.708
O 0.829 0.171 0.708

[3]
The following is a DFT calculation (PBE) of a relaxed structure of Tl2CdGeO6.

Calculated values
The value obtained for the total energy is -50.09 eV per cell. The space group is No. 146. The value obtained for the formation energy from raw total energies is -1.01 eV/atom.

a b c (Å): 5.603 5.603 5.838
angles (deg): 61.32 61.32 60.00
Atoms (fractional coordinates):
Tl 0.537 0.537 0.388
Tl 0.028 0.028 0.916
Cd 0.804 0.804 0.587
Ge 0.319 0.319 0.042
O 0.566 0.213 0.246
O 0.213 0.976 0.246
O 0.976 0.566 0.246
O 0.416 0.671 0.782
O 0.671 0.131 0.782
O 0.131 0.416 0.782

[4]
The following is a DFT calculation (PBE) of a relaxed structure of UCdGe2O8.

Calculated values
The value obtained for the total energy is -84.03 eV per cell. The space group is No. 119. The value obtained for the formation energy from raw total energies is -1.91 eV/atom.

a b c (Å): 5.913 5.913 5.913
angles (deg): 107.40 107.40 113.70
Atoms (fractional coordinates):
U 0.250 0.750 0.500
Cd 0.000 0.000 0.000
Ge 0.750 0.250 0.500
Ge 0.500 0.500 0.000
O 0.376 0.055 0.322
O 0.330 0.528 0.199
O 0.330 0.131 0.801
O 0.733 0.055 0.678
O 0.869 0.670 0.199
O 0.945 0.267 0.322
O 0.945 0.624 0.678
O 0.472 0.670 0.801